Computed, not measured: a relaxed RbSiAu crystal at the GGA-PBE level of DFT.

```
RbSiAu
1.0
-2.429 2.703 -1.516
-6.180 -7.097 -2.754
-4.133 -1.950 3.145
Rb Au Si
2 2 2
direct
0.327 0.243 0.709
0.828 0.756 0.197
0.828 0.123 0.330
0.328 0.876 0.576
0.827 0.422 0.030
0.327 0.576 0.876
```

Values from the calculation:
Magnetization = 0.0 μB per formula unit
Mass density = 5.83 g/cm³
Offset from the most stable computed form = 0.076 eV/atom
Formation energy without anion corrections = -0.12 eV/atom